A plane-wave DFT calculation with PBE+U was carried out for a relaxed structure of NaNiPO4.

Values from the calculation:
Electronic total energy, eV/atom: -6.101
Energy above the lowest structure with this stoichiometry, meV per atom: 34.0
Space group: Cmcm
DOS(E_F), states/eV/f.u.: 0.00
Volume, Å³ per atom: 10.9
Crystal system: orthorhombic

Lattice parameters (Å, degrees): 4.9907 4.9907 6.7437 90.00 90.00 64.92
With the nearest neighbours (Å) after each atom.
Atoms (fractional coordinates):
Na (0.3140, 0.3140, 0.7500)  4 O 2.23-2.38
Na (0.6860, 0.6860, 0.2500)  4 O 2.23-2.38
Ni (0.0000, 0.0000, 0.5000)  6 O 2.00-2.24
Ni (0.0000, 0.0000, 0.0000)  6 O 2.00-2.24
P (0.3368, 0.3368, 0.2500)  4 O 1.53-1.58
P (0.6632, 0.6632, 0.7500)  4 O 1.53-1.58
O (0.2095, 0.6859, 0.2500)  1 P 1.58
O (0.3141, 0.7905, 0.7500)  1 P 1.58
O (0.7905, 0.3141, 0.7500)  1 P 1.58
O (0.6859, 0.2095, 0.2500)  1 P 1.58
O (0.2319, 0.2320, 0.4355)  1 P 1.53
O (0.7680, 0.7681, 0.5645)  1 P 1.53
O (0.2320, 0.2319, 0.0645)  1 P 1.53
O (0.7681, 0.7680, 0.9355)  1 P 1.53